[1]
Material: CeYFe10
Method: DFT, PBE-GGA
State: optimized geometry

Lattice parameters (Å, degrees): 3.983 5.009 8.644 90.00 90.00 90.00
Space group Pmmm (No. 47)
Inequivalent atoms, fractional coordinates:
Ce 0.000 0.000 0.000 x1
Y 0.000 0.500 0.500 x1
Fe 0.000 0.000 0.332 x2
Fe 0.000 0.500 0.165 x2
Fe 0.500 0.000 0.500 x1
Fe 0.500 0.252 0.252 x4
Fe 0.500 0.500 0.000 x1

## Properties
Formation enthalpy at 0 K in eV per formula unit: -0.32

[2]
Material: CeYFe
Method: DFT, PBE-GGA
State: optimized geometry

Lattice parameters (Å, degrees): 7.724 3.206 11.564 90.00 100.43 90.00
Space group P2_1/c (No. 14)
Inequivalent atoms, fractional coordinates:
Ce 0.138 0.182 0.149 x4
Y 0.323 0.135 0.423 x4
Fe 0.395 0.542 0.671 x4

## Properties
Polymorph energy (0 for the lowest one) in kJ per mole of atoms: 18.6
Formation enthalpy at 0 K in eV per formula unit: 0.34

- What is the formula in the first record?
  CeYFe10